Entry 1:
## AcSm2Y6Tm (GGA-PBE)

Data for an optimized crystal structure of AcSm2Y6Tm.

* density: 6.006 g/cm3
* E_tot: -111.12 eV/cell
* calculated volume: 680.2 Å³/cell
* SG: C2/c
* size of the total moment: 0.0 μB/cell
* D(E_F): 15.8 states/eV/f.u.

a = 8.959 Å, b = 8.959 Å, c = 9.630 Å
α = 92.98°, β = 92.98°, γ = 117.79°
Element x y z (fractional)
1 Ac 0.027 0.973 0.750
2 Ac 0.973 0.027 0.250
3 Sm 0.201 0.314 0.550
4 Sm 0.314 0.201 0.050
5 Sm 0.686 0.799 0.950
6 Sm 0.799 0.686 0.450
7 Y 0.013 0.560 0.684
8 Y 0.131 0.750 0.058
9 Y 0.250 0.869 0.442
10 Y 0.289 0.507 0.886
11 Y 0.440 0.987 0.816
12 Y 0.493 0.711 0.614
13 Y 0.507 0.289 0.386
14 Y 0.560 0.013 0.184
15 Y 0.711 0.493 0.114
16 Y 0.750 0.131 0.558
17 Y 0.869 0.250 0.942
18 Y 0.987 0.440 0.316
19 Tm 0.412 0.588 0.250
20 Tm 0.588 0.412 0.750

---

Entry 2:
## LiTbSc2In4 (GGA-PBE)

Data for an optimized crystal structure of LiTbSc2In4.

* density: 6.379 g/cm3
* E_tot: -33.30 eV/cell
* calculated volume: 186.1 Å³/cell
* SG: R-3m
* size of the total moment: 0.0 μB/cell
* D(E_F): 4.4 states/eV/f.u.

a = 8.914 Å, b = 8.914 Å, c = 8.914 Å
α = 32.92°, β = 32.92°, γ = 32.92°
Element x y z (fractional)
1 Li 0.000 0.000 0.000
2 Tb 0.500 0.500 0.500
3 Sc 0.252 0.252 0.252
4 Sc 0.748 0.748 0.748
5 In 0.120 0.120 0.120
6 In 0.372 0.372 0.372
7 In 0.628 0.628 0.628
8 In 0.880 0.880 0.880

---

Entry 3:
## Rb3CeY3Te8 (GGA-PBE)

Data for an optimized crystal structure of Rb3CeY3Te8.

* density: 4.610 g/cm3
* E_tot: -73.74 eV/cell
* formation energy (no corrections): -31.33 kcal/mol of atoms
* calculated volume: 606.5 Å³/cell
* SG: R-3m
* size of the total moment: 0.1 μB/cell
* D(E_F): 0.0 states/eV/f.u.

a = 10.131 Å, b = 10.131 Å, c = 10.131 Å
α = 52.54°, β = 52.54°, γ = 52.54°
Element x y z (fractional)
1 Rb 0.000 0.500 0.500
2 Rb 0.500 0.000 0.500
3 Rb 0.500 0.500 0.000
4 Ce 0.500 0.500 0.500
5 Y 0.000 0.000 0.500
6 Y 0.000 0.500 0.000
7 Y 0.500 0.000 0.000
8 Te 0.231 0.733 0.733
9 Te 0.233 0.233 0.233
10 Te 0.267 0.267 0.769
11 Te 0.267 0.769 0.267
12 Te 0.733 0.231 0.733
13 Te 0.733 0.733 0.231
14 Te 0.767 0.767 0.767
15 Te 0.769 0.267 0.267

---

Entry 4:
## Ba2ZnNi (GGA-PBE)

Data for an optimized crystal structure of Ba2ZnNi.

* density: 4.324 g/cm3
* E_tot: -22.11 eV/cell
* calculated volume: 306.3 Å³/cell
* SG: Imm2
* size of the total moment: 0.0 μB/cell
* D(E_F): 2.7 states/eV/f.u.

a = 4.414 Å, b = 4.452 Å, c = 15.584 Å
α = 90.00°, β = 90.00°, γ = 90.00°
Element x y z (fractional)
1 Ba 0.000 0.000 0.000
2 Ba 0.000 0.500 0.259
3 Ba 0.500 0.000 0.759
4 Ba 0.500 0.500 0.500
5 Zn 0.000 0.000 0.417
6 Zn 0.500 0.500 0.917
7 Ni 0.000 0.500 0.854
8 Ni 0.500 0.000 0.354

---

Entry 5:
## Ac4SmTm (GGA-PBE)

Data for an optimized crystal structure of Ac4SmTm.

* density: 8.354 g/cm3
* E_tot: -24.64 eV/cell
* calculated volume: 243.9 Å³/cell
* SG: Pmmm
* size of the total moment: 0.0 μB/cell
* polymorph energy (0 for the lowest one): 0.0 kJ/mol of atoms
* D(E_F): 12.6 states/eV/f.u.

a = 3.715 Å, b = 6.254 Å, c = 10.499 Å
α = 90.00°, β = 90.00°, γ = 90.00°
Element x y z (fractional)
1 Ac 0.000 0.000 0.169
2 Ac 0.000 0.000 0.831
3 Ac 0.000 0.500 0.328
4 Ac 0.000 0.500 0.672
5 Sm 0.500 0.000 0.500
6 Tm 0.500 0.500 0.000

---

Entry 6:
## ErAl2Ag2S6 (GGA-PBE)

Data for an optimized crystal structure of ErAl2Ag2S6.

* density: 4.749 g/cm3
* E_tot: -52.16 eV/cell
* formation energy (no corrections): -20.22 kcal/mol of atoms
* calculated volume: 220.0 Å³/cell
* SG: C2/m
* size of the total moment: 0.0 μB/cell
* D(E_F): 5.0 states/eV/f.u.

a = 6.373 Å, b = 6.373 Å, c = 6.768 Å
α = 101.03°, β = 101.03°, γ = 119.97°
Element x y z (fractional)
1 Er 0.000 0.000 0.000
2 Al 0.325 0.675 0.000
3 Al 0.675 0.325 0.000
4 Ag 0.150 0.850 0.500
5 Ag 0.850 0.150 0.500
6 S 0.082 0.448 0.223
7 S 0.286 0.286 0.788
8 S 0.448 0.082 0.223
9 S 0.552 0.918 0.777
10 S 0.714 0.714 0.212
11 S 0.918 0.552 0.777

---

Entry 7:
## La2ScAl (GGA-PBE)

Data for an optimized crystal structure of La2ScAl.

* density: 5.334 g/cm3
* E_tot: -79.91 eV/cell
* calculated volume: 435.5 Å³/cell
* SG: F-43m
* size of the total moment: 5.4 μB/cell
* D(E_F): 7.1 states/eV/f.u.

a = 7.580 Å, b = 7.580 Å, c = 7.580 Å
α = 90.00°, β = 90.00°, γ = 90.00°
Element x y z (fractional)
1 La 0.000 0.000 0.000
2 La 0.000 0.500 0.500
3 La 0.250 0.250 0.250
4 La 0.250 0.750 0.750
5 La 0.500 0.000 0.500
6 La 0.500 0.500 0.000
7 La 0.750 0.250 0.750
8 La 0.750 0.750 0.250
9 Sc 0.250 0.250 0.750
10 Sc 0.250 0.750 0.250
11 Sc 0.750 0.250 0.250
12 Sc 0.750 0.750 0.750
13 Al 0.000 0.000 0.500
14 Al 0.000 0.500 0.000
15 Al 0.500 0.000 0.000
16 Al 0.500 0.500 0.500

---

Entry 8:
## CoPtN (GGA-PBE)

Data for an optimized crystal structure of CoPtN.

* density: 13.437 g/cm3
* E_tot: -85.70 eV/cell
* formation energy (no corrections): 0.36 kcal/mol of atoms
* calculated volume: 132.5 Å³/cell
* SG: C2/m
* size of the total moment: 0.0 μB/cell
* D(E_F): 1.4 states/eV/f.u.

a = 4.776 Å, b = 2.757 Å, c = 10.185 Å
α = 90.00°, β = 98.86°, γ = 90.00°
Element x y z (fractional)
1 Co 0.113 0.000 0.337
2 Co 0.387 0.500 0.663
3 Co 0.613 0.500 0.337
4 Co 0.887 0.000 0.663
5 Pt 0.209 0.500 0.121
6 Pt 0.291 0.000 0.879
7 Pt 0.709 0.000 0.121
8 Pt 0.791 0.500 0.879
9 N 0.022 0.500 0.567
10 N 0.478 0.000 0.433
11 N 0.522 0.000 0.567
12 N 0.978 0.500 0.433

---

- Which of these has the highest E_tot?
  Ba2ZnNi

---

- Which of these has the highest size of the total moment?
  La2ScAl

---

- Which value of E_tot does entry 4 give?
  -22.11 eV/cell